## Na3CePr4Se8 (PBE)

Data for a relaxed structure of Na3CePr4Se8.

The space group is R-3m (No. 166, hexagonal axes) and the conventional cell measures 8.5284, 8.5284 and 20.9558 Å, with angles of 90.00, 90.00 and 120.00 degrees. Symmetry generates all atoms from Na at (0.0000, 0.5000, 0.0000), Ce at (0.0000, 0.0000, 0.0000), Pr at (0.0000, 0.0000, 0.5000), Pr at (0.0000, 0.5000, 0.5000), Se at (0.0000, 0.0000, 0.2475) and Se at (0.0017, 0.5008, 0.7497).

The density of states at the Fermi level is 10.038 states/eV/f.u. The value obtained for the spin magnetization is 0.093 μB/atom. For the formation energy without anion corrections, the calculation gives -1.71 eV per atom. Its crystal system is trigonal. The total energy is -5.2657 eV per atom.



## NaCe2PrSe4 (PBE)

Data for a relaxed structure of NaCe2PrSe4.

The space group is P2/m (No. 10) and the conventional cell measures 7.3513, 4.2268 and 7.3646 Å, with angles of 90.00, 109.33 and 90.00 degrees. Symmetry generates all atoms from Na at (0.0000, 0.0000, 0.0000), Ce at (0.0000, 0.5000, 0.5000), Ce at (0.5000, 0.0000, 0.5000), Pr at (0.5000, 0.5000, 0.0000), Se at (0.2462, 0.0000, 0.7484) and Se at (0.2502, 0.5000, 0.2525).

The density of states at the Fermi level is 13.751 states/eV/f.u. The value obtained for the spin magnetization is 0.296 μB/atom. For the formation energy without anion corrections, the calculation gives -1.73 eV per atom. Its crystal system is monoclinic. The total energy is -5.7149 eV per atom.



## NaCe3Pr2Se6 (PBE)

Data for a relaxed structure of NaCe3Pr2Se6.

The space group is C2/m (No. 12) and the conventional cell measures 18.5051, 4.2246 and 8.4984 Å, with angles of 90.00, 103.33 and 90.00 degrees. Symmetry generates all atoms from Na at (0.0000, 0.0000, 0.0000), Ce at (0.0000, 0.0000, 0.5000), Ce at (0.1660, 0.5000, 0.8325), Pr at (0.1689, 0.5000, 0.3387), Se at (0.0000, 0.5000, 0.2511), Se at (0.1642, 0.0000, 0.5869) and Se at (0.1662, 0.0000, 0.0808).

The density of states at the Fermi level is 20.309 states/eV/f.u. The value obtained for the spin magnetization is 0.262 μB/atom. For the formation energy without anion corrections, the calculation gives -1.77 eV per atom. Its crystal system is monoclinic. The total energy is -5.9000 eV per atom.



## NaCePr2Se4 (PBE)

Data for a relaxed structure of NaCePr2Se4.

The space group is P2/m (No. 10) and the conventional cell measures 7.3499, 4.2391 and 7.3829 Å, with angles of 90.00, 109.28 and 90.00 degrees. Symmetry generates all atoms from Na at (0.0000, 0.0000, 0.0000), Ce at (0.5000, 0.5000, 0.0000), Pr at (0.0000, 0.5000, 0.5000), Pr at (0.5000, 0.0000, 0.5000), Se at (0.2504, 0.5000, 0.2477) and Se at (0.2505, 0.0000, 0.7552).

The density of states at the Fermi level is 7.905 states/eV/f.u. The value obtained for the spin magnetization is 0.150 μB/atom. For the formation energy without anion corrections, the calculation gives -1.75 eV per atom. Its crystal system is monoclinic. The total energy is -5.5986 eV per atom.



## Na2CePrSe4 (PBE)

Data for a relaxed structure of Na2CePrSe4.

The space group is P2/m (No. 10) and the conventional cell measures 7.4329, 4.3126 and 7.4697 Å, with angles of 90.00, 109.63 and 90.00 degrees. Symmetry generates all atoms from Na at (0.0000, 0.0000, 0.0000), Na at (0.0000, 0.5000, 0.5000), Ce at (0.5000, 0.0000, 0.5000), Pr at (0.5000, 0.5000, 0.0000), Se at (0.2629, 0.0000, 0.7524) and Se at (0.2642, 0.5000, 0.2561).

The density of states at the Fermi level is 5.989 states/eV/f.u. The value obtained for the spin magnetization is 0.126 μB/atom. For the formation energy without anion corrections, the calculation gives -1.65 eV per atom. Its crystal system is monoclinic. The total energy is -5.0590 eV per atom.



## NaCe2PrTe4 (PBE)

Data for a relaxed structure of NaCe2PrTe4.

The space group is P2/m (No. 10) and the conventional cell measures 7.8456, 4.5037 and 7.8646 Å, with angles of 90.00, 109.23 and 90.00 degrees. Symmetry generates all atoms from Na at (0.0000, 0.0000, 0.0000), Ce at (0.0000, 0.5000, 0.5000), Ce at (0.5000, 0.0000, 0.5000), Pr at (0.5000, 0.5000, 0.0000), Te at (0.2469, 0.0000, 0.7498) and Te at (0.2490, 0.5000, 0.2501).

The density of states at the Fermi level is 15.788 states/eV/f.u. The value obtained for the spin magnetization is 0.309 μB/atom. For the formation energy without anion corrections, the calculation gives -1.34 eV per atom. Its crystal system is monoclinic. The total energy is -5.1543 eV per atom.



## Na2CePrTe4 (PBE)

Data for a relaxed structure of Na2CePrTe4.

The space group is P2/m (No. 10) and the conventional cell measures 7.9310, 4.5829 and 7.9799 Å, with angles of 90.00, 109.34 and 90.00 degrees. Symmetry generates all atoms from Na at (0.0000, 0.0000, 0.0000), Na at (0.5000, 0.5000, 0.0000), Ce at (0.0000, 0.5000, 0.5000), Pr at (0.5000, 0.0000, 0.5000), Te at (0.2455, 0.0000, 0.7398) and Te at (0.2522, 0.5000, 0.2592).

The density of states at the Fermi level is 6.467 states/eV/f.u. The value obtained for the spin magnetization is 0.126 μB/atom. For the formation energy without anion corrections, the calculation gives -1.29 eV per atom. Its crystal system is monoclinic. The total energy is -4.5334 eV per atom.



## Na3Ce2PrTe6 (PBE)

Data for a relaxed structure of Na3Ce2PrTe6.

The space group is C2/m (No. 12) and the conventional cell measures 7.9344, 13.7426 and 7.9732 Å, with angles of 90.00, 109.37 and 90.00 degrees. Symmetry generates all atoms from Na at (0.0000, 0.0000, 0.0000), Na at (0.0000, 0.3342, 0.0000), Ce at (0.0000, 0.1668, 0.5000), Pr at (0.0000, 0.5000, 0.5000), Te at (0.2455, 0.0000, 0.7400) and Te at (0.2474, 0.3328, 0.7402).

The density of states at the Fermi level is 13.324 states/eV/f.u. The value obtained for the spin magnetization is 0.168 μB/atom. For the formation energy without anion corrections, the calculation gives -1.28 eV per atom. Its crystal system is monoclinic. The total energy is -4.5699 eV per atom.